Run P
CrCd2Cu (GGA-PBE, relaxed); crystal system = tetragonal
1.0
7.526 0.000 0.000
0.000 7.526 0.000
3.763 3.763 2.781
Cd Cr Cu
4 2 2
direct
0.653 0.125 0.250
0.375 0.347 0.750
0.875 0.903 0.750
0.097 0.625 0.250
0.250 0.750 0.500
0.500 0.500 0.000
0.750 0.250 0.500
0.000 0.000 0.000


Run Q
CrCd2Cu (GGA-PBE, relaxed); crystal system = monoclinic
1.0
6.825 0.133 0.444
-2.737 3.824 0.160
1.350 0.854 2.843
Cd Cu Cr
2 1 1
direct
0.500 0.000 0.500
0.000 0.000 0.000
0.500 0.500 0.000
0.000 0.500 0.500


run Q (19.0 kJ/mol of atoms below the next structure)


Run P
CrCd2Cu (GGA-PBE, relaxed); crystal system = tetragonal
1.0
-2.105 -2.327 0.851
2.283 -1.387 1.854
-1.969 3.674 5.175
Cu Cr Cd
1 1 2
direct
0.500 0.500 0.750
0.500 0.500 0.250
0.000 0.000 0.984
0.000 0.000 0.516


Run Q
CrCd2Cu (GGA-PBE, relaxed); crystal system = monoclinic
1.0
-1.542 0.227 -4.806
-3.326 -2.695 -2.683
-3.756 1.882 -0.568
Cd Cu Cr
2 1 1
direct
0.751 0.751 0.749
0.996 0.996 0.004
0.248 0.248 0.252
0.505 0.505 0.495


run P (0.9 kJ/mol of atoms below the next structure)


Run P
CrCd2Cu (GGA-PBE, relaxed); crystal system = cubic
1.0
0.988 -4.508 -0.283
-1.448 -2.896 3.300
-3.354 -3.049 -0.909
Cu Cd Cr
1 2 1
direct
0.500 0.500 0.500
0.250 0.250 0.250
0.750 0.750 0.750
0.000 0.000 0.000


Run Q
CrCd2Cu (GGA-PBE, relaxed); crystal system = tetragonal
1.0
4.175 0.000 0.000
0.000 4.175 0.000
0.000 0.000 4.055
Cr Cu Cd
1 1 2
direct
0.500 0.000 0.500
0.000 0.500 0.500
0.000 0.000 0.000
0.500 0.500 0.000


run P (0.8 kJ/mol of atoms below the next structure)